AsP2Pt PBE-GGA optimized geometry; electronic total energy = -5.45 eV per atom; energy of formation = -1.61 kcal/mol of atoms
1.0
3.604 0.000 0.000
-1.802 3.121 0.000
0.000 0.000 17.570
As P Pt
3 6 3
Direct
0.000 0.000 0.000 As
0.333 0.667 0.667 As
0.667 0.333 0.333 As
0.000 0.000 0.244 P
0.000 0.000 0.756 P
0.333 0.667 0.423 P
0.333 0.667 0.911 P
0.667 0.333 0.089 P
0.667 0.333 0.577 P
0.000 0.000 0.500 Pt
0.333 0.667 0.167 Pt
0.667 0.333 0.833 Pt